[1]
# NiP3 GGA-PBEsol optimized geometry
# energy relative to the elements	-0.05	eV per formula unit
# offset from the most stable computed form	363	meV/atom
# total magnetization	0.0000	μB/atom
data_NiP3
_cell_length_a 2.445
_cell_length_b 3.262
_cell_length_c 6.627
_cell_angle_alpha 90.00
_cell_angle_beta 97.73
_cell_angle_gamma 90.00
_space_group_name_H-M_alt 'P 1 2/m 1'
_space_group_IT_number 10
loop_
_space_group_symop_operation_xyz
'x,y,z'
'-x,-y,-z'
'-x,y,-z'
'x,-y,z'
loop_
_atom_site_label
_atom_site_fract_x
_atom_site_fract_y
_atom_site_fract_z
_atom_site_occupancy
Ni1 0.000 0.000 0.000 1
P1 0.000 0.000 0.500 1
P2 0.098 0.500 0.767 1

***

[2]
# SbBrCl2 GGA-PBEsol optimized geometry
# E_form (uncorrected)	-65.5	meV per atom
# offset from the most stable computed form	641	meV/atom
# total magnetization	0.1579	μB/atom
data_SbBrCl2
_cell_length_a 3.807
_cell_length_b 5.771
_cell_length_c 9.326
_cell_angle_alpha 90.00
_cell_angle_beta 90.00
_cell_angle_gamma 90.00
_space_group_name_H-M_alt 'C m m 2'
_space_group_IT_number 35
loop_
_space_group_symop_operation_xyz
'x,y,z'
'-x,-y,z'
'-x,y,z'
'x,-y,z'
'x+1/2,y+1/2,z'
'-x+1/2,-y+1/2,z'
'-x+1/2,y+1/2,z'
'x+1/2,-y+1/2,z'
loop_
_atom_site_label
_atom_site_fract_x
_atom_site_fract_y
_atom_site_fract_z
_atom_site_occupancy
Sb1 0.000 0.000 0.000 1
Br1 0.000 0.500 0.778 1
Cl1 0.000 0.000 0.504 1
Cl2 0.000 0.500 0.204 1

***

[3]
# Sr2CoRe GGA-PBEsol optimized geometry
# energy relative to the elements	4.89	eV per formula unit
# offset from the most stable computed form	614	meV/atom
# total magnetization	0.8360	μB/atom
data_Sr2CoRe
_cell_length_a 6.985
_cell_length_b 6.985
_cell_length_c 6.985
_cell_angle_alpha 90.00
_cell_angle_beta 90.00
_cell_angle_gamma 90.00
_space_group_name_H-M_alt 'F -4 3 m'
_space_group_IT_number 216
_space_group_name_Hall 'F -4 2 3'
loop_
_atom_site_label
_atom_site_fract_x
_atom_site_fract_y
_atom_site_fract_z
_atom_site_occupancy
Sr1 0.000 0.000 0.000 1
Sr2 0.250 0.250 0.250 1
Co1 0.250 0.250 0.750 1
Re1 0.000 0.000 0.500 1

***

[4]
# As2Rh2Pb GGA-PBEsol optimized geometry
# energy relative to the elements	-1.45	eV per formula unit
# total magnetization	0.0000	μB/atom
data_As2Rh2Pb
_cell_length_a 4.034
_cell_length_b 4.034
_cell_length_c 11.708
_cell_angle_alpha 90.00
_cell_angle_beta 90.00
_cell_angle_gamma 90.00
_space_group_name_H-M_alt 'I 4/m m m'
_space_group_IT_number 139
_space_group_name_Hall '-I 4 2'
loop_
_atom_site_label
_atom_site_fract_x
_atom_site_fract_y
_atom_site_fract_z
_atom_site_occupancy
As1 0.000 0.000 0.133 1
Rh1 0.000 0.500 0.250 1
Pb1 0.000 0.000 0.500 1

***

[5]
# Cs2CaP2O7 GGA-PBEsol optimized geometry
# E_form (uncorrected)	-2523.1	meV per atom
# total magnetization	0.0001	μB/atom
data_Cs2CaP2O7
_cell_length_a 10.266
_cell_length_b 5.906
_cell_length_c 7.410
_cell_angle_alpha 90.00
_cell_angle_beta 118.73
_cell_angle_gamma 90.00
_space_group_name_H-M_alt 'C 1 m 1'
_space_group_IT_number 8
loop_
_space_group_symop_operation_xyz
'x,y,z'
'x,-y,z'
'x+1/2,y+1/2,z'
'x+1/2,-y+1/2,z'
loop_
_atom_site_label
_atom_site_fract_x
_atom_site_fract_y
_atom_site_fract_z
_atom_site_occupancy
Cs1 0.000 0.000 0.000 1
Cs2 0.075 0.500 0.677 1
Ca1 0.290 0.500 0.344 1
P1 0.220 0.000 0.605 1
P2 0.365 0.000 0.091 1
O1 0.034 0.500 0.204 1
O2 0.059 0.000 0.564 1
O3 0.266 0.216 0.538 1
O4 0.296 0.217 0.121 1
O5 0.331 0.000 0.853 1

***

[6]
# Al2O3 GGA-PBEsol optimized geometry
# E_form (uncorrected)	-2974.7	meV per atom
# total magnetization	0.0000	μB/atom
data_Al2O3
_cell_length_a 5.568
_cell_length_b 5.578
_cell_length_c 9.268
_cell_angle_alpha 79.13
_cell_angle_beta 81.21
_cell_angle_gamma 60.19
_space_group_name_H-M_alt 'P 1'
_space_group_IT_number 1
loop_
_space_group_symop_operation_xyz
'x,y,z'
loop_
_atom_site_label
_atom_site_fract_x
_atom_site_fract_y
_atom_site_fract_z
_atom_site_occupancy
Al1 0.000 0.000 0.000 1
Al2 0.005 0.481 0.004 1
Al3 0.079 0.658 0.302 1
Al4 0.190 0.735 0.736 1
Al5 0.409 0.431 0.509 1
Al6 0.425 0.950 0.490 1
Al7 0.493 0.923 0.194 1
Al8 0.510 0.485 0.002 1
Al9 0.528 0.040 0.810 1
Al10 0.900 0.391 0.674 1
O1 0.084 0.577 0.621 1
O2 0.097 0.061 0.615 1
O3 0.151 0.639 0.106 1
O4 0.164 0.126 0.103 1
O5 0.292 0.305 0.380 1
O6 0.302 0.766 0.365 1
O7 0.341 0.386 0.870 1
O8 0.345 0.840 0.870 1
O9 0.553 0.585 0.610 1
O10 0.561 0.085 0.614 1
O11 0.655 0.131 0.094 1
O12 0.665 0.621 0.100 1
O13 0.724 0.812 0.349 1
O14 0.858 0.352 0.875 1
O15 0.879 0.845 0.869 1

***

[7]
# ZrIrPt GGA-PBEsol optimized geometry
# energy relative to the elements	-1.51	eV per formula unit
# offset from the most stable computed form	0	meV/atom
# total magnetization	0.0000	μB/atom
data_ZrIrPt
_cell_length_a 4.5067
_cell_length_b 4.5067
_cell_length_c 2.8032
_cell_angle_alpha 90.00
_cell_angle_beta 90.00
_cell_angle_gamma 120.00
_space_group_name_H-M_alt 'P 3 m 1'
_space_group_IT_number 156
loop_
_space_group_symop_operation_xyz
'x,y,z'
'-y,x-y,z'
'-x+y,-x,z'
'-y,-x,z'
'-x+y,y,z'
'x,x-y,z'
loop_
_atom_site_label
_atom_site_fract_x
_atom_site_fract_y
_atom_site_fract_z
_atom_site_occupancy
Zr1 0.0000 0.0000 0.0000 1
Ir1 0.6667 0.3333 0.2999 1
Pt1 0.3333 0.6667 0.7259 1

***

[8]
# Mg5Cu GGA-PBEsol optimized geometry
# energy relative to the elements	0.27	eV per formula unit
# offset from the most stable computed form	52	meV/atom
# total magnetization	0.0000	μB/atom
data_Mg5Cu
_cell_length_a 4.198
_cell_length_b 12.741
_cell_length_c 4.399
_cell_angle_alpha 90.00
_cell_angle_beta 90.00
_cell_angle_gamma 90.00
_space_group_name_H-M_alt 'C m m m'
_space_group_IT_number 65
_space_group_name_Hall '-C 2 2'
loop_
_atom_site_label
_atom_site_fract_x
_atom_site_fract_y
_atom_site_fract_z
_atom_site_occupancy
Mg1 0.000 0.000 0.000 1
Mg2 0.000 0.154 0.500 1
Mg3 0.000 0.340 0.000 1
Cu1 0.000 0.500 0.500 1

***

[9]
# KTa2CoSe GGA-PBEsol optimized geometry
# E_form (uncorrected)	1226.0	meV per atom
# total magnetization	0.0343	μB/atom
data_KTa2CoSe
_cell_length_a 4.847
_cell_length_b 4.847
_cell_length_c 4.397
_cell_angle_alpha 90.00
_cell_angle_beta 90.00
_cell_angle_gamma 90.00
_space_group_name_H-M_alt 'P 4/m m m'
_space_group_IT_number 123
_space_group_name_Hall '-P 4 2'
loop_
_atom_site_label
_atom_site_fract_x
_atom_site_fract_y
_atom_site_fract_z
_atom_site_occupancy
K1 0.000 0.000 0.000 1
Ta1 0.000 0.500 0.500 1
Co1 0.500 0.500 0.000 1
Se1 0.500 0.500 0.500 1

***

[10]
# Sr2TiMnO5 GGA-PBEsol optimized geometry
# E_form (uncorrected)	-2665.6	meV per atom
# total magnetization	0.5482	μB/atom
data_Sr2TiMnO5
_cell_length_a 15.448
_cell_length_b 5.590
_cell_length_c 5.549
_cell_angle_alpha 90.00
_cell_angle_beta 90.00
_cell_angle_gamma 90.00
_space_group_name_H-M_alt 'I m a 2'
_space_group_IT_number 46
loop_
_space_group_symop_operation_xyz
'x,y,z'
'-x,-y,z'
'-x+1/2,y,z'
'x+1/2,-y,z'
'x+1/2,y+1/2,z+1/2'
'-x+1/2,-y+1/2,z+1/2'
'-x,y+1/2,z+1/2'
'x,-y+1/2,z+1/2'
loop_
_atom_site_label
_atom_site_fract_x
_atom_site_fract_y
_atom_site_fract_z
_atom_site_occupancy
Sr1 0.116 0.006 0.000 1
Ti1 0.000 0.000 0.503 1
Mn1 0.250 0.539 0.988 1
O1 0.009 0.747 0.754 1
O2 0.128 0.042 0.517 1
O3 0.250 0.647 0.650 1

***

[11]
# Tl2AgGe2 GGA-PBEsol optimized geometry
# energy relative to the elements	1.13	eV per formula unit
# total magnetization	0.0000	μB/atom
data_Tl2AgGe2
_cell_length_a 3.631
_cell_length_b 3.631
_cell_length_c 17.450
_cell_angle_alpha 90.00
_cell_angle_beta 90.00
_cell_angle_gamma 90.00
_space_group_name_H-M_alt 'I 4/m m m'
_space_group_IT_number 139
_space_group_name_Hall '-I 4 2'
loop_
_atom_site_label
_atom_site_fract_x
_atom_site_fract_y
_atom_site_fract_z
_atom_site_occupancy
Tl1 0.000 0.000 0.098 1
Ag1 0.000 0.000 0.500 1
Ge1 0.000 0.500 0.250 1

***

[12]
# Sr10P6O25 GGA-PBEsol optimized geometry
# E_form (uncorrected)	-2923.7	meV per atom
# total magnetization	0.0031	μB/atom
data_Sr10P6O25
_cell_length_a 9.7122
_cell_length_b 9.7122
_cell_length_c 7.2375
_cell_angle_alpha 90.00
_cell_angle_beta 90.00
_cell_angle_gamma 120.00
_space_group_name_H-M_alt 'P 3'
_space_group_IT_number 143
loop_
_space_group_symop_operation_xyz
'x,y,z'
'-y,x-y,z'
'-x+y,-x,z'
loop_
_atom_site_label
_atom_site_fract_x
_atom_site_fract_y
_atom_site_fract_z
_atom_site_occupancy
Sr1 0.0000 0.0000 0.0000 1
Sr2 0.0000 0.0000 0.4914 1
Sr3 0.3333 0.6667 0.4610 1
Sr4 0.3333 0.6667 0.9692 1
Sr5 0.4105 0.0618 0.7236 1
Sr6 0.4305 0.3219 0.2358 1
P1 0.0265 0.7224 0.7294 1
P2 0.0725 0.3646 0.2262 1
O1 0.0005 0.4082 0.0604 1
O2 0.0379 0.4284 0.4069 1
O3 0.0946 0.2152 0.7639 1
O4 0.1451 0.6598 0.7176 1
O5 0.1834 0.0016 0.2370 1
O6 0.1945 0.7443 0.2037 1
O7 0.3049 0.2350 0.5492 1
O8 0.3673 0.2701 0.8840 1
O9 0.6667 0.3333 0.3261 1